Record 1
First-principles (GGA-PBE) data for HoSi2 after structural relaxation, as listed in Alexandria.

Cell and atoms, written as POSCAR:
```
HoSi2
1.0
-1.235 -3.188 2.223
3.234 2.182 1.187
-2.358 2.364 2.080
Si Ho
2 1
Cartesian
0.565 1.574 2.572
-0.925 -0.216 2.917
0.000 0.000 0.000
```

Summary:
* space-group type: P6/mmm (191)

=====

Record 2
First-principles (GGA-PBE) data for Ta2InBr after structural relaxation, as listed in Alexandria.

Cell and atoms, written as POSCAR:
```
Ta2InBr
1.0
-1.215 5.079 2.178
0.364 -4.356 3.592
2.593 0.660 1.511
In Ta Br
1 2 1
Cartesian
1.478 -1.848 2.552
-0.426 0.361 2.885
0.000 0.000 0.000
0.689 2.870 1.845
```

Summary:
* ΔE to the lowest computed polymorph: 14.71 kcal/mol of atoms
* space-group type: C2/m (12)

=====

Number 1: raw formation energy -0.504 eV/atom, total moment 0.00 μB per cell. Number 2: raw formation energy 0.708 eV/atom, total moment 0.00 μB per cell.